Dy2VCoO6: optimized geometry, PBE with a Hubbard U.

Cell lengths 5.228, 5.630, 9.138 Å; angles 90.00, 124.69, 90.00 degrees
Space group P2_1/c (No. 14)
Inequivalent atoms, fractional coordinates:
Dy  0.228  0.071  0.250
V  0.500  0.000  0.000
Co  0.000  0.000  0.500
O  0.134  0.201  0.946
O  0.250  0.690  0.947
O  0.354  0.037  0.747

Properties
Total moment = 2.000 μB/f.u.
Final energy = -7.72 eV per atom
ρ = 7.973 g/cm³